Record 1
Crystalline Pm4Sm3Hg at its relaxed geometry. Source: the Alexandria database, functional PBE-GGA.

Structure (POSCAR):
```
Pm4Sm3Hg
1.0
3.670 0.000 0.000
0.000 3.670 0.000
0.000 0.000 19.373
Pm Sm Hg
4 3 1
Cartesian
0.000 0.000 2.033
0.000 0.000 7.136
0.000 0.000 12.237
0.000 0.000 17.340
1.835 1.835 4.580
1.835 1.835 9.687
1.835 1.835 14.794
1.835 1.835 0.000
```

Its electronic total energy is -0.158 hartree per atom. The value obtained for the energy of formation from the pure elements is -0.846 eV/f.u. The density of states at the Fermi level is 10.610 states/eV per cell. The magnetization is 0.00 μB per cell. As for the symmetry: P4/mmm.

=====

Record 2
Crystalline PmSm2Hg2 at its relaxed geometry. Source: the Alexandria database, functional PBE-GGA.

Structure (POSCAR):
```
PmSm2Hg2
1.0
3.810 0.000 0.000
0.000 5.442 0.000
-1.909 0.000 13.893
Pm Sm Hg
2 4 4
Cartesian
0.002 1.361 4.046
1.899 4.082 9.847
0.002 4.082 1.303
-0.005 4.082 6.545
1.905 1.361 7.348
1.899 1.361 12.590
-0.002 1.361 9.915
-0.005 4.082 12.549
1.905 1.361 1.343
1.903 4.082 3.978
```

Its electronic total energy is -0.123 hartree per atom. The value obtained for the energy of formation from the pure elements is -1.893 eV/f.u. The density of states at the Fermi level is 11.789 states/eV per cell. The magnetization is 0.84 μB per cell. As for the symmetry: P2_1/m.

=====

Record 3
Crystalline PmSm2Hg at its relaxed geometry. Source: the Alexandria database, functional PBE-GGA.

Structure (POSCAR):
```
PmSm2Hg
1.0
4.902 0.000 0.000
0.000 4.902 0.000
0.000 0.000 4.896
Pm Sm Hg
1 2 1
Cartesian
0.000 0.000 0.000
0.000 2.451 2.448
2.451 0.000 2.448
2.451 2.451 0.000
```

Its electronic total energy is -0.139 hartree per atom. The value obtained for the energy of formation from the pure elements is -0.671 eV/f.u. The density of states at the Fermi level is 5.436 states/eV per cell. The magnetization is 0.01 μB per cell. As for the symmetry: P4/mmm.